Entry from Alexandria: crystalline KCrPdO4 at its relaxed geometry (GGA+U).

- VASP energy (eV/f.u.) = -40.91
- magnetization (μB/f.u.) = 0.73
- D(E_F) (states/eV/f.u.) = 3.901

Structure (CIF):
```
data_KCrPdO4
_chemical_formula_sum 'K4 Cr4 Pd4 O16'
_space_group_name_H-M_alt 'C m c m'
_space_group_IT_number 63
_space_group_name_Hall '-C 2c 2'
_cell_length_a 6.7960
_cell_length_b 10.0454
_cell_length_c 6.8135
_cell_angle_alpha 90.00
_cell_angle_beta 90.00
_cell_angle_gamma 90.00
loop_
_atom_site_label
_atom_site_type_symbol
_atom_site_fract_x
_atom_site_fract_y
_atom_site_fract_z
_atom_site_occupancy
K1 K 0.0000 0.0000 0.0000 1
Cr1 Cr 0.0000 0.3754 0.2500 1
Pd1 Pd 0.0000 0.3055 0.7500 1
O1 O 0.0000 0.2787 0.0457 1
O2 O 0.1992 0.4730 0.2500 1
```